# 1
Density functional theory data (PBE) for crystalline ZrIn2RhSe at its relaxed geometry.

a b c (Å): 5.169 5.169 4.937
angles (deg): 90.00 90.00 90.00
Space group P4/mmm (No. 123)
Asymmetric unit:
Zr (0.000, 0.000, 0.000) x1
In (0.000, 0.500, 0.500) x2
Rh (0.500, 0.500, 0.000) x1
Se (0.000, 0.000, 0.500) x1

## Properties
The total magnetization comes out at 0.0000 μB per atom. The energy relative to the elements, uncorrected comes out at 0.71 eV/atom.

=====

# 2
Density functional theory data (PBE) for crystalline InSi2Rh at its relaxed geometry.

a b c (Å): 7.841 3.110 6.158
angles (deg): 90.00 105.59 90.00
Space group C2/m (No. 12)
Asymmetric unit:
In (0.000, 0.000, 0.000) x2
Si (0.241, 0.000, 0.670) x4
Rh (0.000, 0.500, 0.500) x2

## Properties
The total magnetization comes out at 0.0000 μB per atom. The energy relative to the elements, uncorrected comes out at -0.09 eV/atom.

=====

# 3
Density functional theory data (PBE) for crystalline InSi2Rh at its relaxed geometry.

a b c (Å): 6.419 6.419 6.419
angles (deg): 90.00 90.00 90.00
Space group F-43m (No. 216)
Asymmetric unit:
In (0.000, 0.000, 0.000) x4
Si (0.000, 0.000, 0.500) x4
Si (0.250, 0.250, 0.250) x4
Rh (0.250, 0.250, 0.750) x4

## Properties
The total magnetization comes out at 0.0000 μB per atom. The energy relative to the elements, uncorrected comes out at 0.25 eV/atom.

=====

# 4
Density functional theory data (PBE) for crystalline InSiRh2 at its relaxed geometry.

a b c (Å): 4.229 4.229 3.393
angles (deg): 90.00 90.00 90.00
Space group P4/mmm (No. 123)
Asymmetric unit:
In (0.000, 0.000, 0.000) x1
Si (0.500, 0.500, 0.000) x1
Rh (0.000, 0.500, 0.500) x2

## Properties
The total magnetization comes out at 0.0000 μB per atom. The energy relative to the elements, uncorrected comes out at -0.37 eV/atom.

=====

# 5
Density functional theory data (PBE) for crystalline InSi2Rh at its relaxed geometry.

a b c (Å): 5.302 7.596 3.311
angles (deg): 90.00 90.00 90.00
Space group Cmmm (No. 65)
Asymmetric unit:
In (0.000, 0.000, 0.000) x2
Si (0.250, 0.250, 0.500) x4
Rh (0.000, 0.500, 0.000) x2

## Properties
The total magnetization comes out at 0.0000 μB per atom. The energy relative to the elements, uncorrected comes out at 0.20 eV/atom.

=====

# 6
Density functional theory data (PBE) for crystalline InSiRh3 at its relaxed geometry.

a b c (Å): 11.739 9.106 6.253
angles (deg): 90.00 90.00 90.00
Space group Cmcm (No. 63)
Asymmetric unit:
In (0.000, 0.003, 0.250) x4
In (0.000, 0.338, 0.750) x4
Si (0.219, 0.347, 0.250) x8
Rh (0.134, 0.500, 0.000) x8
Rh (0.139, 0.174, 0.008) x16

## Properties
The energy relative to the lowest polymorph listed for this composition is 0 meV/atom. The total magnetization comes out at 0.0000 μB per atom. The energy relative to the elements, uncorrected comes out at -0.39 eV/atom.

=====

# 7
Density functional theory data (PBE) for crystalline InSi2Rh at its relaxed geometry.

a b c (Å): 2.842 4.611 10.694
angles (deg): 90.00 90.00 90.00
Space group Immm (No. 71)
Asymmetric unit:
In (0.000, 0.000, 0.000) x2
Si (0.000, 0.500, 0.201) x4
Rh (0.000, 0.000, 0.500) x2

## Properties
The total magnetization comes out at 0.0000 μB per atom. The energy relative to the elements, uncorrected comes out at 0.02 eV/atom.

=====

# 8
Density functional theory data (PBE) for crystalline InSiRh2 at its relaxed geometry.

a b c (Å): 6.869 6.869 5.720
angles (deg): 90.00 90.00 90.00
Space group I-42d (No. 122)
Asymmetric unit:
In (0.000, 0.000, 0.000) x4
Si (0.000, 0.000, 0.500) x4
Rh (0.189, 0.250, 0.625) x8

## Properties
The total magnetization comes out at 0.0000 μB per atom. The energy relative to the elements, uncorrected comes out at -0.33 eV/atom.